1.
CePm2NdTl4: optimized geometry, PBE.

abc: 9.547 9.547 9.547
angles: 33.52 33.52 33.52
Sites, in units of the cell vectors:
Ce1 0.000 0.000 0.000
Pm1 0.250 0.250 0.250
Pm2 0.750 0.750 0.750
Nd1 0.500 0.500 0.500
Tl1 0.125 0.125 0.125
Tl2 0.375 0.375 0.375
Tl3 0.625 0.625 0.625
Tl4 0.875 0.875 0.875


2.
K2AgIBr3: optimized geometry, PBE.

abc: 5.472 5.582 16.992
angles: 90.00 90.00 90.00
Sites, in units of the cell vectors:
K1 0.000 0.000 0.143
K2 0.000 0.000 0.857
K3 0.500 0.500 0.357
K4 0.500 0.500 0.643
Ag1 0.000 0.000 0.500
Ag2 0.500 0.500 0.000
I1 0.000 0.500 0.500
I2 0.500 0.000 0.000
Br1 0.000 0.000 0.334
Br2 0.000 0.000 0.666
Br3 0.000 0.500 0.000
Br4 0.500 0.000 0.500
Br5 0.500 0.500 0.166
Br6 0.500 0.500 0.834


3.
La2GePd4Pt2: optimized geometry, PBE.

abc: 6.314 6.314 6.314
angles: 120.32 120.32 89.45
Sites, in units of the cell vectors:
La1 0.250 0.750 0.500
La2 0.750 0.250 0.500
Ge1 0.000 0.000 0.000
Pd1 0.278 0.278 0.555
Pd2 0.278 0.722 0.000
Pd3 0.722 0.278 0.000
Pd4 0.722 0.722 0.445
Pt1 0.272 0.272 0.000
Pt2 0.728 0.728 0.000


Number 1: E -4.05 eV per atom, total moment 0.132 μB/atom, V 236.4 Å³/cell. Number 2: E -2.66 eV per atom, total moment 0.000 μB/atom, V 519.0 Å³/cell. Number 3: E -6.11 eV per atom, total moment 0.000 μB/atom, V 177.2 Å³/cell.